Entry 1:
DFT (PBE) results for a geometry-optimized LiTcN structure.

Geometry as POSCAR:
```
LiTcN
1.0
2.802 0.000 0.000
0.000 4.580 0.000
0.000 0.000 10.650
Li N Tc
4 4 4
Direct
0.250 0.731 0.716
0.250 0.769 0.216
0.750 0.269 0.284
0.750 0.231 0.784
0.250 0.984 0.869
0.750 0.016 0.131
0.250 0.516 0.369
0.750 0.484 0.631
0.750 0.736 0.477
0.250 0.264 0.523
0.750 0.764 0.977
0.250 0.236 0.023
```

Output
For the raw formation energy, the calculation gives -0.9 eV per formula unit. The crystal system is orthorhombic.

=====

Entry 2:
DFT (PBE) results for a geometry-optimized TiInPb2O6 structure.

Geometry as POSCAR:
```
TiInPb2O6
1.0
5.688 0.000 -0.021
0.000 5.799 0.000
0.020 0.000 8.135
Ti O Pb In
2 12 4 2
Direct
0.000 0.500 0.000
0.500 0.000 0.500
0.784 0.808 0.542
0.811 0.783 0.955
0.284 0.692 0.042
0.189 0.217 0.045
0.311 0.717 0.455
0.216 0.192 0.458
0.413 0.973 0.737
0.587 0.027 0.263
0.913 0.527 0.237
0.689 0.283 0.545
0.087 0.473 0.763
0.716 0.308 0.958
0.493 0.462 0.250
0.993 0.038 0.750
0.007 0.962 0.250
0.507 0.538 0.750
0.500 0.000 0.000
0.000 0.500 0.500
```

Output
For the raw formation energy, the calculation gives -16.9 eV per formula unit. The crystal system is monoclinic.

=====

Entry 3:
DFT (PBE) results for a geometry-optimized HoMnTl2Se4 structure.

Geometry as POSCAR:
```
HoMnTl2Se4
1.0
-5.811 -4.965 3.596
2.890 -6.574 -4.446
5.287 4.493 4.822
Se Ho Tl Mn
8 2 4 2
Direct
0.240 0.260 0.458
0.760 0.740 0.542
0.206 0.747 0.976
0.753 0.294 0.524
0.247 0.706 0.476
0.240 0.260 0.042
0.794 0.253 0.024
0.760 0.740 0.958
0.000 0.500 0.000
0.000 0.500 0.500
0.500 0.000 0.500
0.000 0.000 0.500
0.500 0.500 0.000
0.500 0.000 0.000
0.500 0.500 0.500
0.000 0.000 0.000
```

Output
For the raw formation energy, the calculation gives -6.5 eV per formula unit. The crystal system is orthorhombic.

=====

Entry 4:
DFT (PBE) results for a geometry-optimized Ba2ZrGeSb structure.

Geometry as POSCAR:
```
Ba2ZrGeSb
1.0
6.292 0.000 0.000
0.000 5.279 0.000
0.000 0.000 6.292
Sb Ba Ge Zr
1 2 1 1
Direct
0.000 0.500 0.000
0.000 0.000 0.500
0.500 0.000 0.000
0.000 0.000 0.000
0.500 0.500 0.500
```

Output
For the raw formation energy, the calculation gives 2.4 eV per formula unit. The crystal system is tetragonal.

=====

Entry 5:
DFT (PBE) results for a geometry-optimized NaGa2Hg2 structure.

Geometry as POSCAR:
```
NaGa2Hg2
1.0
-4.470 -6.817 0.891
5.559 -4.209 -4.316
1.743 -0.753 2.979
Hg Ga Na
4 4 2
Direct
0.848 0.652 0.000
0.652 0.152 0.000
0.152 0.348 0.000
0.348 0.848 0.000
0.354 0.146 0.500
0.854 0.354 0.500
0.646 0.854 0.500
0.146 0.646 0.500
0.000 0.000 0.000
0.500 0.500 0.000
```

Output
The value obtained for the formation energy is -0.15 eV per formula unit. The crystal system is tetragonal.

=====

Entry 6:
DFT (PBE) results for a geometry-optimized Mg2Tc3 structure.

Geometry as POSCAR:
```
Mg2Tc3
1.0
1.548 5.168 0.802
-1.548 5.168 0.802
0.000 4.501 5.682
Tc Mg
3 2
Direct
0.891 0.891 0.383
0.500 0.500 0.000
0.109 0.109 0.617
0.690 0.690 0.220
0.310 0.310 0.780
```

Output
The value obtained for the formation energy is 0.66 eV per formula unit. The crystal system is monoclinic.

=====

Entry 7:
DFT (PBE) results for a geometry-optimized TbYCoNi structure.

Geometry as POSCAR:
```
TbYCoNi
1.0
-1.941 -2.140 -2.573
2.145 -3.162 1.012
-2.568 -0.150 4.971
Ni Tb Co Y
1 1 1 1
Direct
0.567 0.500 0.134
0.142 0.000 0.284
0.433 0.000 0.865
0.858 0.500 0.716
```

Output
The value obtained for the formation energy is -1.19 eV per formula unit. The crystal system is orthorhombic.

=====

Entry 8:
DFT (PBE) results for a geometry-optimized Cr2NiBr structure.

Geometry as POSCAR:
```
Cr2NiBr
1.0
-0.521 -0.679 2.669
1.296 -3.999 -0.765
3.993 1.092 1.057
Cr Ni Br
2 1 1
Direct
0.000 0.000 0.000
0.000 0.500 0.500
0.500 0.500 0.000
0.500 0.000 0.500
```

Output
For the raw formation energy, the calculation gives 3.2 eV per formula unit. The crystal system is tetragonal.

=====

Entry 9:
DFT (PBE) results for a geometry-optimized NaNb2CrSb structure.

Geometry as POSCAR:
```
NaNb2CrSb
1.0
-1.616 2.319 -3.868
-2.158 -3.743 -1.343
-3.888 1.365 2.443
Nb Na Sb Cr
2 1 1 1
Direct
0.500 0.000 0.000
0.000 0.000 0.500
0.000 0.000 0.000
0.500 0.500 0.500
0.000 0.500 0.000
```

Output
For the raw formation energy, the calculation gives 8.9 eV per formula unit. The crystal system is tetragonal.

=====

Entry 10:
DFT (PBE) results for a geometry-optimized Dy2YEr2Mg2 structure.

Geometry as POSCAR:
```
Dy2YEr2Mg2
1.0
-0.046 4.189 -3.432
-4.479 1.138 -2.824
-3.997 6.559 3.787
Mg Er Dy Y
2 2 2 1
Direct
0.289 0.289 0.133
0.711 0.711 0.867
0.845 0.845 0.464
0.155 0.155 0.536
0.573 0.573 0.281
0.427 0.427 0.719
0.000 0.000 0.000
```

Output
The value obtained for the formation energy is -0.20 eV per formula unit. The crystal system is trigonal.

=====

Entry 11:
DFT (PBE) results for a geometry-optimized Ac2TmSb4Rh3 structure.

Geometry as POSCAR:
```
Ac2TmSb4Rh3
1.0
-1.504 -4.111 1.446
3.282 -0.062 3.237
-7.247 5.272 7.449
Sb Ac Tm Rh
4 2 1 3
Direct
0.000 0.000 0.000
0.500 0.000 0.655
0.500 0.500 0.000
0.000 0.500 0.345
0.500 0.000 0.230
0.000 0.500 0.770
0.500 0.500 0.500
0.000 0.500 0.115
0.000 0.000 0.500
0.500 0.000 0.885
```

Output
For the raw formation energy, the calculation gives -8.7 eV per formula unit. The crystal system is tetragonal.

=====

Entry 12:
DFT (PBE) results for a geometry-optimized KTlSiO4 structure.

Geometry as POSCAR:
```
KTlSiO4
1.0
-2.659 4.682 1.443
-4.485 -1.488 -3.437
-1.986 -5.071 4.788
Tl O K Si
2 8 2 2
Direct
0.208 0.250 0.542
0.792 0.750 0.458
0.430 0.750 0.193
0.949 0.469 0.689
0.570 0.250 0.807
0.446 0.750 0.561
0.949 0.031 0.689
0.051 0.531 0.311
0.554 0.250 0.439
0.051 0.969 0.311
0.690 0.750 0.931
0.310 0.250 0.069
0.255 0.750 0.340
0.745 0.250 0.660
```

Output
For the raw formation energy, the calculation gives -12.6 eV per formula unit. The crystal system is monoclinic.

=====

no.,E_tot (eV/atom)
1,-7.16
2,-6.47
3,-4.87
4,-3.75
5,-1.63
6,-6.73
7,-6.29
8,-5.88
9,-5.27
10,-4.03
11,-5.99
12,-5.90